# PuUIr

A relaxed structure of PuUIr (PBE-GGA, Alexandria).

Cell: 5.297 3.336 14.053 Å, 90.00 90.00 90.00°
Element x y z (fractional)
U (0.250, 0.750, 0.011)
Pu (0.250, 0.250, 0.166)
Pu (0.750, 0.750, 0.334)
Ir (0.250, 0.250, 0.863)
Pu (0.250, 0.250, 0.666)
U (0.250, 0.750, 0.511)
U (0.750, 0.250, 0.989)
Ir (0.750, 0.750, 0.637)
Pu (0.750, 0.750, 0.834)
Ir (0.250, 0.250, 0.363)
U (0.750, 0.250, 0.489)
Ir (0.750, 0.750, 0.137)

## Properties
- Volume: 248 Å³/cell
- Energy relative to the lowest polymorph listed for this composition: 15 meV/atom
- Calculated formation energy: -0.306 eV/atom